The following is a GGA-PBE calculation of crystalline K4Ag3SnBr12 at its relaxed geometry, from Alexandria via LeMat-Bulk.

```
data_K4Ag3SnBr12
_cell_length_a 11.005
_cell_length_b 11.005
_cell_length_c 11.005
_cell_angle_alpha 90.00
_cell_angle_beta 90.00
_cell_angle_gamma 90.00
_symmetry_space_group_name_H-M 'I m -3 m'
_symmetry_Int_Tables_number 229
_symmetry_space_group_name_Hall '-I 4 2 3'
loop_
_atom_site_label
_atom_site_fract_x
_atom_site_fract_y
_atom_site_fract_z
K1 0.250 0.250 0.250
Ag1 0.000 0.000 0.500
Sn1 0.000 0.000 0.000
Br1 0.000 0.000 0.241
Br2 0.000 0.250 0.500
```

## Properties
- formation energy (no corrections) (meV/atom) = -940.2
- raw total energy (eV/atom) = -2.791
- DOS at the Fermi energy (states/eV per atom) = 0.236